Computed, not measured: an optimized crystal structure of Li2CoGeH at the PBE-GGA level of DFT.

Lattice parameters (Å, degrees): 3.6294 3.6294 3.8033 90.00 90.00 90.00
Last column: nearest neighbours and their distance in Å.
Fractional positions:
Li 0.5000 0.0000 0.0000  2 H 1.81
Li 0.0000 0.5000 0.0000  2 H 1.81
H 0.0000 0.0000 0.0000  4 Li 1.81, 2 Co 1.90
Co 0.0000 0.0000 0.5000  2 H 1.90
Ge 0.5000 0.5000 0.5000  4 Co 2.57, 8 Li 2.63

Calculated values
ρ in Mg/m³: 4.85
VASP energy in eV/f.u.: -19.8
Space-group type: P4/mmm (123)



Computed, not measured: an optimized crystal structure of RbInCl3 at the PBE-GGA level of DFT.

Lattice parameters (Å, degrees): 8.4495 7.1400 14.1944 90.00 79.30 90.00
Last column: nearest neighbours and their distance in Å.
Fractional positions:
Rb 0.5246 0.0857 0.6737  6 Cl 3.28-3.50
Rb 0.9754 0.5857 0.8263  6 Cl 3.28-3.50
Rb 0.0246 0.4143 0.1737  6 Cl 3.28-3.50
Rb 0.4754 0.9143 0.3263  6 Cl 3.28-3.50
Cl 0.1690 0.7396 0.0019  1 In 2.45
Cl 0.6690 0.7604 0.5019  1 In 2.45
Cl 0.8798 0.3492 0.6414  1 In 2.46
Cl 0.3310 0.2396 0.4981  1 In 2.45
Cl 0.1202 0.6508 0.3586  1 In 2.46
Cl 0.3798 0.1508 0.1414  1 In 2.46
Cl 0.8622 0.0480 0.2938  1 In 2.46
Cl 0.6378 0.5480 0.2062  1 In 2.46
Cl 0.3622 0.4520 0.7938  1 In 2.46
Cl 0.1378 0.9520 0.7062  1 In 2.46
Cl 0.6202 0.8492 0.8586  1 In 2.46
Cl 0.8310 0.2604 0.9981  1 In 2.45
In 0.5663 0.3938 0.0649  3 Cl 2.45-2.46
In 0.9337 0.8938 0.4351  3 Cl 2.45-2.46
In 0.0663 0.1062 0.5649  3 Cl 2.45-2.46
In 0.4337 0.6062 0.9351  3 Cl 2.45-2.46

Calculated values
ρ in Mg/m³: 2.42
VASP energy in eV/f.u.: -16.4
Space-group type: P2_1/c (14)
E_form (uncorrected) in eV per atom: -1.427



Computed, not measured: an optimized crystal structure of Ca2TeH2O6 at the PBE-GGA level of DFT.

Lattice parameters (Å, degrees): 5.1275 5.1275 5.8594 64.05 64.05 60.00
Last column: nearest neighbours and their distance in Å.
Fractional positions:
O 0.7487 0.2602 0.2423  1 H 1.45
O 0.7487 0.7487 0.2423  1 H 1.45
O 0.2513 0.2513 0.7577  1 H 1.45
O 0.2602 0.7487 0.2423  1 H 1.45
O 0.2513 0.7398 0.7577  1 H 1.45
O 0.7398 0.2513 0.7577  1 H 1.45
Te 0.0000 0.0000 0.0000  6 O 1.95
H 0.5926 0.5926 0.2223  3 O 1.45
H 0.4074 0.4074 0.7777  3 O 1.45
Ca 0.7809 0.7809 0.6572  9 O 2.59-2.61, 1 H 2.86
Ca 0.2191 0.2191 0.3428  9 O 2.59-2.61, 1 H 2.86

Calculated values
ρ in Mg/m³: 4.41
VASP energy in eV/f.u.: -60.6
Space-group type: R-3m (166)



Computed, not measured: an optimized crystal structure of Ho7CS5 at the PBE-GGA level of DFT.

Lattice parameters (Å, degrees): 3.7204 6.6355 23.3442 90.00 90.00 106.31
Last column: nearest neighbours and their distance in Å.
Fractional positions:
Ho 0.9279 0.8561 0.1041  5 S 2.71-2.74
Ho 0.2072 0.4145 0.1781  3 S 2.72-2.73
Ho 0.9050 0.8100 0.3795  1 C 2.45, 4 S 2.71-2.74
Ho 0.0727 0.1451 0.6041  5 S 2.71-2.74
Ho 0.5552 0.1103 0.7499  2 C 2.55, 1 S 2.75
Ho 0.3692 0.7383 0.9613  6 S 2.71-2.74
Ho 0.4453 0.8908 0.2498  2 C 2.55, 1 S 2.75
Ho 0.6314 0.2629 0.4612  6 S 2.71-2.74
Ho 0.2040 0.4079 0.3166  2 C 2.52-2.53, 3 S 2.71-2.82
Ho 0.7934 0.5867 0.6781  3 S 2.72-2.73
Ho 0.7965 0.5931 0.8166  2 C 2.52-2.53, 3 S 2.71-2.82
Ho 0.3535 0.7073 0.5373  6 S 2.68-2.79
Ho 0.0955 0.1911 0.8796  1 C 2.44, 4 S 2.71-2.74
Ho 0.6471 0.2939 0.0374  6 S 2.68-2.79
S 0.5643 0.1281 0.1449  6 Ho 2.71-2.88
S 0.4363 0.8730 0.6449  6 Ho 2.71-2.88
S 0.7279 0.4559 0.9263  6 Ho 2.71-2.79
S 0.2863 0.5725 0.0696  6 Ho 2.68-2.74
S 0.4489 0.8978 0.8526  6 Ho 2.71-2.82
S 0.2727 0.5453 0.4262  6 Ho 2.71-2.79
S 0.5517 0.1033 0.3525  6 Ho 2.71-2.82
S 0.0110 0.0221 0.9956  6 Ho 2.71-2.91
S 0.7143 0.4287 0.5695  6 Ho 2.68-2.74
S 0.9896 0.9791 0.4955  6 Ho 2.71-2.91
C 0.8243 0.6488 0.2844  5 Ho 2.45-2.55
C 0.1761 0.3521 0.7846  5 Ho 2.44-2.55

Calculated values
ρ in Mg/m³: 7.97
VASP energy in eV/f.u.: -81.5
Space-group type: Cmc2_1 (36)
E_form (uncorrected) in eV per atom: -1.504



Computed, not measured: an optimized crystal structure of Tb5Sm2ErSc at the PBE-GGA level of DFT.

Lattice parameters (Å, degrees): 5.5358 10.4351 10.3551 90.00 90.00 105.38
Last column: nearest neighbours and their distance in Å.
Fractional positions:
Sm 0.8874 0.7747 0.8124  8 Tb 3.25-3.52, 1 Sc 3.49
Sm 0.8850 0.7700 0.2362  1 Sc 3.30, 6 Tb 3.49-3.66, 2 Er 3.63
Sm 0.1126 0.2253 0.3124  8 Tb 3.25-3.52, 1 Sc 3.49
Sm 0.1150 0.2300 0.7362  1 Sc 3.30, 6 Tb 3.49-3.66, 2 Er 3.63
Tb 0.0159 0.0319 0.0148  2 Er 3.23, 3 Sm 3.33-3.51, 1 Sc 3.59
Tb 0.7259 0.4518 0.8211  1 Er 3.02, 1 Sm 3.25, 2 Tb 3.36
Tb 0.4836 0.9671 0.7419  2 Er 3.16-3.31, 2 Sm 3.46
Tb 0.2741 0.5482 0.3211  1 Er 3.02, 1 Sm 3.25, 2 Tb 3.36
Tb 0.9841 0.9681 0.5148  2 Er 3.23, 3 Sm 3.33-3.51, 1 Sc 3.59
Tb 0.3732 0.7464 0.0198  4 Sm 3.52-3.57, 1 Sc 3.59, 4 Tb 3.60-3.70
Tb 0.6268 0.2536 0.5198  4 Sm 3.52-3.57, 1 Sc 3.59, 4 Tb 3.60-3.70
Tb 0.2989 0.5978 0.7033  1 Er 3.32, 3 Tb 3.36-3.60, 2 Sc 3.39, 3 Sm 3.48-3.72
Tb 0.7011 0.4022 0.2033  1 Er 3.32, 3 Tb 3.36-3.60, 2 Sc 3.39, 3 Sm 3.48-3.72
Tb 0.5164 0.0329 0.2419  2 Er 3.16-3.31, 2 Sm 3.46
Sc 0.8054 0.6109 0.5150  2 Sm 3.30-3.49, 7 Tb 3.39-3.59, 2 Er 3.48
Sc 0.1946 0.3891 0.0150  2 Sm 3.30-3.49, 7 Tb 3.39-3.59, 2 Er 3.48
Er 0.5937 0.1874 0.9594  6 Tb 3.02-3.32
Er 0.4063 0.8126 0.4594  6 Tb 3.02-3.32

Calculated values
ρ in Mg/m³: 7.53
VASP energy in eV/f.u.: -42.1
Space-group type: Cmc2_1 (36)
Energy of formation from the pure elements in kcal/mol of atoms: 3.57



Computed, not measured: an optimized crystal structure of SbH at the PBE-GGA level of DFT.

Lattice parameters (Å, degrees): 3.1408 3.1408 8.0918 90.00 90.00 90.00
Last column: nearest neighbours and their distance in Å.
Fractional positions:
Sb 0.0000 0.0000 0.8382  1 H 1.75
Sb 0.5000 0.5000 0.3382  1 H 1.75
H 0.0000 0.0000 0.6220  1 Sb 1.75
H 0.5000 0.5000 0.1220  1 Sb 1.75

Calculated values
ρ in Mg/m³: 5.11
VASP energy in eV/f.u.: -7.0
Space-group type: I4mm (107)
Offset from the most stable computed form in meV per atom: 216



Computed, not measured: an optimized crystal structure of ReSiRu at the PBE-GGA level of DFT.

Lattice parameters (Å, degrees): 4.5246 4.5246 4.5246 144.13 129.25 63.70
Last column: nearest neighbours and their distance in Å.
Fractional positions:
Re 0.9983 0.9983 0.0000  5 Si 2.55-2.71, 5 Ru 2.59-2.70, 2 Re 2.79
Si 0.6664 0.6664 0.0000  5 Ru 2.55-2.72, 5 Re 2.55-2.71, 2 Si 2.79
Ru 0.3353 0.3353 0.0000  5 Si 2.55-2.72, 5 Re 2.59-2.70, 2 Ru 2.79

Calculated values
ρ in Mg/m³: 12.61
VASP energy in eV/f.u.: -27.4
Space-group type: Imm2 (44)
Offset from the most stable computed form in meV per atom: 193
E_form (uncorrected) in eV per atom: -0.075



Computed, not measured: an optimized crystal structure of BaRu2 at the PBE-GGA level of DFT.

Lattice parameters (Å, degrees): 4.2676 4.2676 10.8938 78.49 78.49 60.04
Last column: nearest neighbours and their distance in Å.
Fractional positions:
Ru 0.6235 0.6235 0.2419  7 Ru 2.53-2.77
Ru 0.2497 0.2497 0.3611  3 Ru 2.46
Ru 0.9163 0.9163 0.3611  3 Ru 2.46
Ru 0.5425 0.5425 0.4806  7 Ru 2.53-2.77
Ba 0.8128 0.8128 0.6660  4 Ru 3.15-3.23
Ba 0.0218 0.0218 0.0560  4 Ru 3.15-3.23

Calculated values
ρ in Mg/m³: 6.74
VASP energy in eV/f.u.: -19.2
Space-group type: Cm (8)
Energy of formation from the pure elements in kcal/mol of atoms: 9.59



Computed, not measured: an optimized crystal structure of CuIr2 at the PBE-GGA level of DFT.

Lattice parameters (Å, degrees): 4.8977 4.8977 4.8977 101.50 101.50 126.96
Last column: nearest neighbours and their distance in Å.
Fractional positions:
Cu 0.7500 0.7500 0.0000  2 Cu 2.19
Cu 0.2500 0.2500 0.0000  2 Cu 2.19
Ir 0.3554 0.8554 0.2109  5 Ir 2.53-2.83, 4 Cu 2.62
Ir 0.1446 0.3554 0.5000  5 Ir 2.53-2.83, 4 Cu 2.62
Ir 0.6446 0.1446 0.7891  5 Ir 2.53-2.83, 4 Cu 2.62
Ir 0.8554 0.6446 0.5000  5 Ir 2.53-2.83, 4 Cu 2.62

Calculated values
ρ in Mg/m³: 17.71
VASP energy in eV/f.u.: -20.6
Space-group type: I4/mcm (140)
Energy of formation from the pure elements in kcal/mol of atoms: 9.43
Offset from the most stable computed form in meV per atom: 348



Computed, not measured: an optimized crystal structure of LaP2Os at the PBE-GGA level of DFT.

Lattice parameters (Å, degrees): 3.9831 4.4012 4.7166 84.70 90.00 90.00
Last column: nearest neighbours and their distance in Å.
Fractional positions:
P 0.0000 0.6931 0.4852  1 P 2.23, 2 Os 2.38
P 0.0000 0.8069 0.0148  1 P 2.23, 2 Os 2.38
La 0.5000 0.2500 0.2500  8 P 3.07-3.27, 4 Os 3.07-3.37
Os 0.5000 0.7500 0.7500  4 P 2.38

Calculated values
ρ in Mg/m³: 7.89
VASP energy in eV/f.u.: -29.9
Space-group type: P2/m (10)
Energy of formation from the pure elements in kcal/mol of atoms: -16.83
Offset from the most stable computed form in meV per atom: 147



Computed, not measured: an optimized crystal structure of ScAg3Cl at the PBE-GGA level of DFT.

Lattice parameters (Å, degrees): 5.3255 5.3255 5.3255 90.00 90.00 90.00
Last column: nearest neighbours and their distance in Å.
Fractional positions:
Ag 0.0000 0.5000 0.0000  2 Sc 2.66
Ag 0.5000 0.0000 0.0000  2 Sc 2.66
Ag 0.0000 0.0000 0.5000  2 Sc 2.66
Cl 0.5000 0.5000 0.5000  12 Ag 3.77
Sc 0.0000 0.0000 0.0000  6 Ag 2.66

Calculated values
ρ in Mg/m³: 4.44
VASP energy in eV/f.u.: -12.6
Space-group type: Pm-3m (221)
Offset from the most stable computed form in meV per atom: 183
E_form (uncorrected) in eV per atom: 0.824



Computed, not measured: an optimized crystal structure of In3CoNi at the PBE-GGA level of DFT.

Lattice parameters (Å, degrees): 4.8633 4.8633 4.8633 90.00 90.00 90.00
Last column: nearest neighbours and their distance in Å.
Fractional positions:
Ni 0.0000 0.0000 0.0000  6 In 2.43
In 0.0000 0.5000 0.0000  2 Ni 2.43
In 0.0000 0.0000 0.5000  2 Ni 2.43
In 0.5000 0.0000 0.0000  2 Ni 2.43
Co 0.5000 0.5000 0.5000  12 In 3.44

Calculated values
ρ in Mg/m³: 6.67
VASP energy in eV/f.u.: -18.4
Space-group type: Pm-3m (221)
Energy of formation from the pure elements in kcal/mol of atoms: 12.36
Offset from the most stable computed form in meV per atom: 41



How do the records compare in N(E_F)? In the order shown, they have 1.963, 0.000, 0.000, 5.932, 13.643, 0.456, 2.099, 4.093, 4.449, 1.426, 11.225, 5.897 states/eV/f.u..